Entry 1:
Density functional theory data (PBE) for an optimized crystal structure of TbGdAsO.

Properties
The total magnetization comes out at 0.0 μB per cell. As for the energy above the most stable polymorph in this dataset: 80 meV per atom.

Cell lengths 4.350, 4.350, 8.903 Å; angles 90.00, 90.00, 90.00 degrees
Atoms (fractional coordinates):
As (0.500, 0.000, 0.705)
As (0.000, 0.500, 0.295)
Tb (0.500, 0.500, 0.500)
Tb (0.000, 0.000, 0.500)
O (0.000, 0.000, 0.000)
O (0.500, 0.500, 0.000)
Gd (0.500, 0.000, 0.101)
Gd (0.000, 0.500, 0.899)

Entry 2:
Density functional theory data (PBE) for an optimized crystal structure of Tb3GdAs4O4.

Properties
The total magnetization comes out at 0.0 μB per cell. The value obtained for the energy is -7.087 eV/atom.

Cell lengths 5.607, 5.608, 7.149 Å; angles 91.25, 91.60, 90.34 degrees
Atoms (fractional coordinates):
Tb (0.994, 0.246, 0.846)
Tb (0.494, 0.746, 0.846)
Tb (0.005, 0.753, 0.153)
Gd (0.505, 0.253, 0.155)
O (0.750, 0.500, 0.998)
O (0.249, 0.501, 0.001)
O (0.751, 0.999, 0.001)
O (0.248, 0.998, 0.998)
As (0.268, 0.019, 0.499)
As (0.769, 0.520, 0.499)
As (0.734, 0.983, 0.502)
As (0.233, 0.483, 0.502)

Entry 3:
Density functional theory data (PBE) for an optimized crystal structure of TbGdAsO.

Properties
The total magnetization comes out at 0.0 μB per cell. As for the energy above the most stable polymorph in this dataset: 0 meV per atom.

Cell lengths 4.192, 7.677, 5.943 Å; angles 90.00, 90.00, 90.00 degrees
Atoms (fractional coordinates):
Gd (0.000, 0.209, 0.438)
Gd (0.000, 0.791, 0.938)
O (0.500, 0.670, 0.878)
O (0.500, 0.330, 0.378)
As (0.000, 0.161, 0.930)
As (0.000, 0.839, 0.430)
Tb (0.500, 0.613, 0.508)
Tb (0.500, 0.387, 0.008)

Entry 4:
Density functional theory data (PBE) for an optimized crystal structure of TbGdAsO.

Properties
The total magnetization comes out at 0.0 μB per cell. As for the energy above the most stable polymorph in this dataset: 9 meV per atom.

Cell lengths 4.169, 7.748, 5.879 Å; angles 90.00, 90.00, 90.00 degrees
Atoms (fractional coordinates):
O (0.500, 0.674, 0.882)
O (0.500, 0.326, 0.382)
As (0.000, 0.157, 0.930)
As (0.000, 0.843, 0.430)
Tb (0.000, 0.792, 0.938)
Tb (0.000, 0.208, 0.438)
Gd (0.500, 0.386, 0.004)
Gd (0.500, 0.614, 0.504)